Entry 1:
Computed, not measured: an optimized crystal structure of SrCaAu at the PBE level of DFT.

DFT formation energy   -0.580 eV per atom

Cell lengths 12.844, 4.334, 8.785 Å; angles 90.00, 123.93, 90.00 degrees
Positions (direct):
Sr 0.079 0.000 0.367
Sr 0.421 0.500 0.633
Sr 0.579 0.500 0.367
Sr 0.921 0.000 0.633
Ca 0.177 0.500 0.078
Ca 0.323 0.000 0.922
Ca 0.677 0.000 0.078
Ca 0.823 0.500 0.922
Au 0.138 0.500 0.691
Au 0.362 0.000 0.309
Au 0.638 0.000 0.691
Au 0.862 0.500 0.309

---

Entry 2:
Computed, not measured: an optimized crystal structure of SrCaAu at the PBE level of DFT.

DFT formation energy   -0.505 eV per atom

Cell lengths 4.458, 4.458, 6.697 Å; angles 90.00, 90.00, 120.00 degrees
Positions (direct):
Sr 0.000 0.000 0.000
Ca 0.333 0.667 0.489
Au 0.667 0.333 0.268

---

Entry 3:
Computed, not measured: an optimized crystal structure of SrCa2Au at the PBE level of DFT.

DFT formation energy   -0.222 eV per atom

Cell lengths 4.825, 4.932, 5.485 Å; angles 90.00, 90.00, 90.00 degrees
Positions (direct):
Sr 0.000 0.000 0.000
Ca 0.000 0.500 0.500
Ca 0.500 0.000 0.500
Au 0.500 0.500 0.000

---

Entry 4:
Computed, not measured: an optimized crystal structure of SrCaAu at the PBE level of DFT.

DFT formation energy   -0.539 eV per atom

Cell lengths 3.808, 3.808, 13.573 Å; angles 90.00, 90.00, 90.00 degrees
Positions (direct):
Sr 0.000 0.000 0.000
Sr 0.500 0.500 0.500
Ca 0.000 0.000 0.261
Ca 0.500 0.500 0.761
Au 0.000 0.000 0.642
Au 0.500 0.500 0.142

---

Entry 5:
Computed, not measured: an optimized crystal structure of Sr3Ca2Au2 at the PBE level of DFT.

DFT formation energy   -0.497 eV per atom

Cell lengths 13.996, 4.213, 9.344 Å; angles 90.00, 112.39, 90.00 degrees
Positions (direct):
Sr 0.000 0.000 0.000
Sr 0.122 0.000 0.435
Sr 0.378 0.500 0.565
Sr 0.500 0.500 0.000
Sr 0.622 0.500 0.435
Sr 0.878 0.000 0.565
Ca 0.174 0.500 0.827
Ca 0.326 0.000 0.173
Ca 0.674 0.000 0.827
Ca 0.826 0.500 0.173
Au 0.181 0.500 0.208
Au 0.319 0.000 0.792
Au 0.681 0.000 0.208
Au 0.819 0.500 0.792

---

Entry 6:
Computed, not measured: an optimized crystal structure of Sr4CaAu2 at the PBE level of DFT.

DFT formation energy   -0.436 eV per atom

Cell lengths 10.278, 10.278, 10.278 Å; angles 130.73, 68.24, 135.91 degrees
Positions (direct):
Sr 0.118 0.381 0.237
Sr 0.144 0.881 0.763
Sr 0.197 0.013 0.210
Sr 0.197 0.487 0.683
Sr 0.509 0.873 0.137
Sr 0.736 0.373 0.863
Sr 0.803 0.513 0.317
Sr 0.803 0.987 0.790
Ca 0.517 0.366 0.652
Ca 0.714 0.866 0.348
Au 0.069 0.528 0.042
Au 0.486 0.028 0.958
Au 0.822 0.322 0.500
Au 0.822 0.822 0.000

---

Repeat the sixth record exactly.
Computed, not measured: an optimized crystal structure of Sr4CaAu2 at the PBE level of DFT.

DFT formation energy   -0.436 eV per atom

Cell lengths 10.278, 10.278, 10.278 Å; angles 130.73, 68.24, 135.91 degrees
Positions (direct):
Sr 0.118 0.381 0.237
Sr 0.144 0.881 0.763
Sr 0.197 0.013 0.210
Sr 0.197 0.487 0.683
Sr 0.509 0.873 0.137
Sr 0.736 0.373 0.863
Sr 0.803 0.513 0.317
Sr 0.803 0.987 0.790
Ca 0.517 0.366 0.652
Ca 0.714 0.866 0.348
Au 0.069 0.528 0.042
Au 0.486 0.028 0.958
Au 0.822 0.322 0.500
Au 0.822 0.822 0.000

---

What is the DFT formation energy in the first record? -0.580 eV per atom